A plane-wave DFT calculation with PBE was carried out for HfNb3V8 after structural relaxation.

The value obtained for the total energy is -9.479 eV/atom.

It has space group P3m1 (No. 156), with a = 5.1152 Å, b = 5.1152 Å, c = 8.2116 Å, α = 90.00°, β = 90.00° and γ = 120.00°. The asymmetric unit holds Hf at (0.0000, 0.0000, 0.0000), Nb at (0.0000, 0.0000, 0.3769), Nb at (0.6667, 0.3333, 0.4994), Nb at (0.6667, 0.3333, 0.8723), V at (0.1640, 0.3280, 0.6839), V at (0.3333, 0.6667, 0.4374), V at (0.3333, 0.6667, 0.9367) and V at (0.5032, 0.0063, 0.1897).


A plane-wave DFT calculation with PBE was carried out for LiSbSe2 after structural relaxation.

The value obtained for the formation energy without anion corrections is -10.8 kcal/mol of atoms.

It has space group Imm2 (No. 44), with a = 3.782 Å, b = 3.894 Å, c = 13.036 Å, α = 90.00°, β = 90.00° and γ = 90.00°. The asymmetric unit holds Li at (0.000, 0.000, 0.000), Sb at (0.000, 0.500, 0.239), Se at (0.000, 0.000, 0.579) and Se at (0.000, 0.500, 0.834).